VASP calculation (PBE) on a geometry-optimized SrSiSCl2 structure.

a = 5.367 Å, b = 5.367 Å, c = 5.889 Å
α = 90.00°, β = 90.00°, γ = 90.00°
Space group P4/mmm (No. 123)
Unique sites:
Sr1 0.000 0.000 0.000 [1 per cell]
Si1 0.500 0.500 0.500 [1 per cell]
S1 0.000 0.000 0.500 [1 per cell]
Cl1 0.000 0.500 0.000 [2 per cell]

Values from the calculation:
Fermi-level density of states in states/eV/f.u.: 0.905
Uncorrected formation energy in eV/atom: -0.366
ΔE to the lowest computed polymorph in kJ/mol of atoms: 66.90